# V3GeN

A geometry-optimized V3GeN structure (PBE, Alexandria via LeMat-Bulk).

Unit cell a=2.8348 b=6.5799 c=7.5314 alpha=94.60 beta=100.85 gamma=90.00
Fractional positions:
V 0.1678 0.5138 0.3356
N 0.6009 0.3633 0.2018
V 0.0451 0.1990 0.0902
V 0.7111 0.1792 0.4221
V 0.8322 0.4862 0.6644
Ge 0.8756 0.1191 0.7512
V 0.2889 0.8208 0.5779
V 0.9549 0.8010 0.9098
N 0.3991 0.6367 0.7982
Ge 0.1244 0.8809 0.2488

Properties
* DOS(E_F): 4.2 states/eV/f.u.
* uncorrected energy: -84.559 eV per cell
* calculated density: 5.78 g/cm3
* uncorrected formation energy: -396 meV/atom

=====

# V4Ge2N

A geometry-optimized V4Ge2N structure (PBE, Alexandria via LeMat-Bulk).

Unit cell a=2.9957 b=6.5871 c=9.1391 alpha=90.00 beta=90.00 gamma=90.00
Fractional positions:
V 0.0000 0.8618 0.3059
Ge 0.5000 0.9375 0.8628
Ge 0.5000 0.4375 0.6372
V 0.5000 0.6761 0.0766
Ge 0.5000 0.5625 0.3628
Ge 0.5000 0.0625 0.1372
V 0.5000 0.3239 0.9234
N 0.0000 0.5000 0.0000
V 0.5000 0.1761 0.4234
V 0.0000 0.1382 0.6941
V 0.5000 0.8239 0.5766
V 0.0000 0.3618 0.1941
V 0.0000 0.6382 0.8059
N 0.0000 0.0000 0.5000

Properties
* DOS(E_F): 4.9 states/eV/f.u.
* uncorrected energy: -116.544 eV per cell
* calculated density: 6.69 g/cm3
* uncorrected formation energy: -605 meV/atom
* distance to the lowest polymorph of the same formula: 0 meV per atom

=====

# VGe3N

A geometry-optimized VGe3N structure (PBE, Alexandria via LeMat-Bulk).

Unit cell a=4.7466 b=4.7466 c=4.7466 alpha=90.00 beta=90.00 gamma=90.00
Each line ends with the local moment (μB).
Fractional positions:
V 0.0000 0.0000 0.0000  0.74
Ge 0.0000 0.0000 0.5000  0.01
Ge 0.0000 0.5000 0.0000  0.01
N 0.5000 0.5000 0.5000  1.66
Ge 0.5000 0.0000 0.0000  0.01

Properties
* DOS(E_F): 1.7 states/eV/f.u.
* uncorrected energy: -25.440 eV per cell
* calculated density: 4.39 g/cm3
* uncorrected formation energy: 1171 meV/atom
* distance to the lowest polymorph of the same formula: 407 meV per atom

=====

# V2GeN

A geometry-optimized V2GeN structure (PBE, Alexandria via LeMat-Bulk).

Unit cell a=5.9675 b=5.9675 c=5.1269 alpha=54.41 beta=54.41 gamma=90.00
Fractional positions:
V 0.2197 0.6250 0.2500
Ge 0.0000 0.0000 0.0000
V 0.8750 0.7803 0.7500
V 0.3750 0.4697 0.7500
Ge 0.7500 0.2500 0.5000
N 0.2500 0.7500 0.5000
N 0.5000 0.5000 0.0000
V 0.5303 0.1250 0.2500

Properties
* DOS(E_F): 3.9 states/eV/f.u.
* uncorrected energy: -64.834 eV per cell
* calculated density: 6.04 g/cm3
* uncorrected formation energy: -309 meV/atom

=====

# VZn2GeN4

A geometry-optimized VZn2GeN4 structure (PBE, Alexandria via LeMat-Bulk).

Unit cell a=4.5483 b=4.5483 c=5.5775 alpha=114.06 beta=114.06 gamma=90.00
Each line ends with the local moment (μB).
Fractional positions:
Ge 0.0000 0.0000 0.0001  0.05
V 0.5000 0.5000 0.0001  0.93
N 0.6387 0.6387 0.7767  -0.02
Zn 0.2500 0.7500 0.5001  0.00
Zn 0.7500 0.2500 0.5001  0.00
N 0.3613 0.8621 0.2234  -0.02
N 0.1380 0.1380 0.7767  -0.02
N 0.8621 0.3613 0.2234  -0.02

Properties
* DOS(E_F): 1.9 states/eV/f.u.
* uncorrected energy: -51.790 eV per cell
* calculated density: 5.47 g/cm3
* uncorrected formation energy: -276 meV/atom

=====

# ZrV2GeN

A geometry-optimized ZrV2GeN structure (PBE, Alexandria via LeMat-Bulk).

Unit cell a=4.7247 b=3.7906 c=4.7247 alpha=90.00 beta=90.00 gamma=90.00
Fractional positions:
Ge 0.0000 0.0000 0.0000
V 0.0000 0.0000 0.5000
N 0.0000 0.5000 0.0000
V 0.5000 0.0000 0.0000
Zr 0.5000 0.5000 0.5000

Properties
* DOS(E_F): 5.6 states/eV/f.u.
* uncorrected energy: -33.952 eV per cell
* calculated density: 5.49 g/cm3
* uncorrected formation energy: 1155 meV/atom

=====

# GeW2N

A geometry-optimized GeW2N structure (PBE, Alexandria via LeMat-Bulk).

Unit cell a=4.8571 b=4.8571 c=6.7212 alpha=68.82 beta=68.82 gamma=90.00
Fractional positions:
W 0.2350 0.6250 0.2500
W 0.5150 0.1250 0.2500
W 0.8750 0.7650 0.7500
Ge 0.7500 0.2500 0.5000
W 0.3750 0.4850 0.7500
N 0.2500 0.7500 0.5000
Ge 0.0000 0.0000 0.0000
N 0.5000 0.5000 0.0000

Properties
* DOS(E_F): 4.9 states/eV/f.u.
* uncorrected energy: -72.833 eV per cell
* calculated density: 11.07 g/cm3
* uncorrected formation energy: 608 meV/atom
* distance to the lowest polymorph of the same formula: 0 meV per atom

=====

# GeW2N

A geometry-optimized GeW2N structure (PBE, Alexandria via LeMat-Bulk).

Unit cell a=4.2122 b=4.2122 c=4.2122 alpha=60.00 beta=60.00 gamma=60.00
Fractional positions:
Ge 0.5000 0.5000 0.5000
W 0.7500 0.7500 0.7500
N 0.0000 0.0000 0.0000
W 0.2500 0.2500 0.2500

Properties
* DOS(E_F): 5.8 states/eV/f.u.
* uncorrected energy: -35.045 eV per cell
* calculated density: 14.28 g/cm3
* uncorrected formation energy: 951 meV/atom
* distance to the lowest polymorph of the same formula: 343 meV per atom

=====

# GeWN

A geometry-optimized GeWN structure (PBE, Alexandria via LeMat-Bulk).

Unit cell a=2.8775 b=4.5009 c=14.0423 alpha=90.00 beta=90.00 gamma=90.00
Fractional positions:
Ge 0.7500 0.4677 0.9119
Ge 0.2500 0.9677 0.5881
W 0.2500 0.9648 0.2184
W 0.2500 0.5352 0.7184
N 0.7500 0.2448 0.1485
W 0.7500 0.4648 0.2816
Ge 0.2500 0.5323 0.0881
N 0.2500 0.7448 0.3515
N 0.7500 0.2552 0.6485
N 0.2500 0.7552 0.8515
W 0.7500 0.0352 0.7816
Ge 0.7500 0.0323 0.4119

Properties
* DOS(E_F): 1.3 states/eV/f.u.
* uncorrected energy: -100.804 eV per cell
* calculated density: 9.88 g/cm3
* uncorrected formation energy: 232 meV/atom

=====

# Ge2WN

A geometry-optimized Ge2WN structure (PBE, Alexandria via LeMat-Bulk).

Unit cell a=5.7841 b=5.7841 c=5.4550 alpha=57.98 beta=57.98 gamma=90.00
Fractional positions:
N 0.2500 0.7500 0.5000
Ge 0.8750 0.7910 0.7500
W 0.7500 0.2500 0.5000
N 0.5000 0.5000 0.0000
W 0.0000 0.0000 0.0000
Ge 0.5410 0.1250 0.2500
Ge 0.2090 0.6250 0.2500
Ge 0.3750 0.4590 0.7500

Properties
* DOS(E_F): 3.3 states/eV/f.u.
* uncorrected energy: -54.838 eV per cell
* calculated density: 9.44 g/cm3
* uncorrected formation energy: 774 meV/atom

=====

# Zn2GeWN4

A geometry-optimized Zn2GeWN4 structure (PBE, Alexandria via LeMat-Bulk).

Unit cell a=4.9025 b=4.9025 c=5.5450 alpha=113.45 beta=113.45 gamma=95.73
Fractional positions:
N 0.8220 0.4139 0.2359
Zn 0.7521 0.2521 0.5042
W 0.4933 0.4933 0.9865
N 0.1276 0.1276 0.7498
Zn 0.2521 0.7521 0.5042
N 0.4139 0.8220 0.2359
N 0.6222 0.6222 0.7498
Ge 0.0171 0.0171 0.0342

Properties
* DOS(E_F): 0.2 states/eV/f.u.
* uncorrected energy: -53.601 eV per cell
* calculated density: 6.90 g/cm3
* uncorrected formation energy: -23 meV/atom

=====

# YGe2N

A geometry-optimized YGe2N structure (PBE, Alexandria via LeMat-Bulk).

Unit cell a=6.5182 b=6.5182 c=5.7883 alpha=55.73 beta=55.73 gamma=90.00
Fractional positions:
Y 0.7500 0.2500 0.5000
Ge 0.5184 0.1250 0.2500
N 0.2500 0.7500 0.5000
Ge 0.8750 0.7684 0.7500
Ge 0.3750 0.4816 0.7500
Y 0.0000 0.0000 0.0000
N 0.5000 0.5000 0.0000
Ge 0.2316 0.6250 0.2500

Properties
* DOS(E_F): 2.2 states/eV/f.u.
* uncorrected energy: -47.593 eV per cell
* calculated density: 5.54 g/cm3
* uncorrected formation energy: 57 meV/atom

=====

# YGeN2

A geometry-optimized YGeN2 structure (PBE, Alexandria via LeMat-Bulk).

Unit cell a=6.7056 b=6.7056 c=6.7056 alpha=27.61 beta=27.61 gamma=27.61
Fractional positions:
Ge 0.5000 0.5000 0.5000
N 0.1155 0.1155 0.1155
Y 0.0000 0.0000 0.0000
N 0.8845 0.8845 0.8845

Properties
* DOS(E_F): 2.4 states/eV/f.u.
* uncorrected energy: -26.450 eV per cell
* calculated density: 5.51 g/cm3
* uncorrected formation energy: 320 meV/atom

=====

# Y3Ge5N12

A geometry-optimized Y3Ge5N12 structure (PBE, Alexandria via LeMat-Bulk).

Unit cell a=10.8607 b=10.8607 c=10.8607 alpha=109.47 beta=109.47 gamma=109.47
Each line ends with the local moment (μB).
Fractional positions:
N 0.1797 0.0868 0.7033  0.41
Ge 0.5000 0.5000 0.0000  -0.01
N 0.0868 0.1797 0.2033  0.41
Y 0.2500 0.6250 0.8750  0.06
N 0.0237 0.6165 0.7033  0.41
N 0.4071 0.0237 0.3203  0.41
N 0.7033 0.5868 0.1797  0.41
Ge 0.8750 0.6250 0.7500  0.00
N 0.1797 0.0929 0.9763  0.41
Ge 0.5000 0.5000 0.5000  -0.01
N 0.5868 0.7033 0.6797  0.41
N 0.0929 0.1797 0.4763  0.41
N 0.6165 0.0237 0.2033  0.41
Ge 0.1250 0.7500 0.3750  0.00
Ge 0.3750 0.1250 0.7500  0.00
N 0.0868 0.9071 0.3835  0.41
N 0.7033 0.1165 0.0237  0.41
N 0.1165 0.4132 0.0929  0.41
Ge 0.0000 0.5000 0.5000  -0.01
N 0.2033 0.6797 0.0868  0.41
Y 0.3750 0.6250 0.2500  0.06
N 0.8203 0.9132 0.2967  0.41
N 0.3203 0.5237 0.4071  0.41
N 0.3203 0.7967 0.4132  0.41
N 0.5929 0.9763 0.6797  0.41
Y 0.6250 0.3750 0.7500  0.06
N 0.5237 0.3203 0.9071  0.41
Y 0.1250 0.2500 0.8750  0.06
N 0.2967 0.4132 0.8203  0.41
Y 0.8750 0.1250 0.2500  0.06
N 0.6797 0.2033 0.5868  0.41
Ge 0.2500 0.3750 0.6250  0.00
N 0.2033 0.5237 0.6165  0.41
Ge 0.3750 0.2500 0.1250  0.00
N 0.3835 0.4071 0.0868  0.41
Ge 0.5000 0.0000 0.0000  -0.01
Ge 0.6250 0.7500 0.8750  0.00
N 0.8203 0.9071 0.0237  0.41
Ge 0.0000 0.5000 0.0000  -0.01
Ge 0.0000 0.0000 0.5000  -0.01
N 0.9763 0.3835 0.2967  0.41
Ge 0.0000 0.0000 0.0000  -0.01
N 0.4071 0.3835 0.5868  0.41
N 0.9763 0.5929 0.1797  0.41
N 0.0929 0.9132 0.1165  0.41
N 0.7967 0.4763 0.3835  0.41
N 0.5929 0.6165 0.4132  0.41
Y 0.7500 0.8750 0.6250  0.06
N 0.4132 0.1165 0.5929  0.41
N 0.9071 0.0868 0.8835  0.41
N 0.5868 0.8835 0.4071  0.41
Ge 0.6250 0.8750 0.2500  0.00
Ge 0.2500 0.8750 0.1250  0.00
N 0.3835 0.9763 0.7967  0.41
Y 0.6250 0.2500 0.3750  0.06
Y 0.8750 0.7500 0.1250  0.06
N 0.9132 0.8203 0.7967  0.41
N 0.4763 0.7967 0.8835  0.41
Ge 0.8750 0.2500 0.6250  0.00
N 0.4763 0.6797 0.0929  0.41
N 0.9071 0.8203 0.5237  0.41
N 0.8835 0.2967 0.4763  0.41
N 0.7967 0.3203 0.9132  0.41
Y 0.7500 0.3750 0.1250  0.06
Ge 0.7500 0.1250 0.8750  0.00
N 0.0237 0.4071 0.8203  0.41
Y 0.1250 0.8750 0.7500  0.06
N 0.8835 0.5868 0.9071  0.41
N 0.4132 0.2967 0.3203  0.41
N 0.2967 0.8835 0.9763  0.41
Y 0.2500 0.1250 0.3750  0.06
Y 0.3750 0.7500 0.6250  0.06
Ge 0.1250 0.3750 0.2500  0.00
Ge 0.5000 0.0000 0.5000  -0.01
N 0.5237 0.2033 0.1165  0.41
N 0.6797 0.4763 0.5929  0.41
N 0.6165 0.5929 0.9132  0.41
N 0.1165 0.7033 0.5237  0.41
N 0.9132 0.0929 0.6165  0.41
Ge 0.7500 0.6250 0.3750  0.00

Properties
* DOS(E_F): 11.8 states/eV/f.u.
* uncorrected energy: -567.366 eV per cell
* calculated density: 5.37 g/cm3
* uncorrected formation energy: 27 meV/atom

=====

# Y4Ge2N

A geometry-optimized Y4Ge2N structure (PBE, Alexandria via LeMat-Bulk).

Unit cell a=3.8934 b=8.1842 c=7.0038 alpha=132.05 beta=106.14 gamma=90.00
Fractional positions:
N 0.0000 0.0000 0.0000
Y 0.0812 0.8146 0.1624
Y 0.9188 0.1854 0.8376
Y 0.6559 0.2363 0.3119
Y 0.3441 0.7637 0.6881
Ge 0.3812 0.4346 0.7625
Ge 0.6188 0.5654 0.2375

Properties
* DOS(E_F): 5.2 states/eV/f.u.
* uncorrected energy: -50.102 eV per cell
* calculated density: 5.56 g/cm3
* uncorrected formation energy: -955 meV/atom
* distance to the lowest polymorph of the same formula: 46 meV per atom

=====

# YGeN2

A geometry-optimized YGeN2 structure (PBE, Alexandria via LeMat-Bulk).

Unit cell a=3.7847 b=3.7835 c=5.1284 alpha=90.07 beta=89.97 gamma=120.05
Fractional positions:
N 0.4027 0.8293 0.5539
Ge 0.4026 0.8287 0.1831
Y 0.7360 0.4963 0.6594
N 0.7360 0.4951 0.1225

Properties
* DOS(E_F): 0.7 states/eV/f.u.
* uncorrected energy: -29.922 eV per cell
* calculated density: 4.95 g/cm3
* uncorrected formation energy: -547 meV/atom

=====

# YGeN

A geometry-optimized YGeN structure (PBE, Alexandria via LeMat-Bulk).

Unit cell a=3.9161 b=5.4166 c=10.2978 alpha=90.00 beta=90.00 gamma=90.00
Fractional positions:
Y 0.7500 0.4086 0.3652
Y 0.2500 0.9086 0.1348
Y 0.7500 0.0914 0.8652
N 0.2500 0.8789 0.8902
N 0.7500 0.1211 0.1098
N 0.7500 0.3789 0.6098
Ge 0.7500 0.4720 0.0786
Ge 0.2500 0.5280 0.9214
Y 0.2500 0.5914 0.6348
Ge 0.2500 0.9720 0.4214
N 0.2500 0.6211 0.3902
Ge 0.7500 0.0280 0.5786

Properties
* DOS(E_F): 0.0 states/eV/f.u.
* uncorrected energy: -87.915 eV per cell
* calculated density: 5.34 g/cm3
* uncorrected formation energy: -857 meV/atom

=====

# YGeN2

A geometry-optimized YGeN2 structure (PBE, Alexandria via LeMat-Bulk).

Unit cell a=6.2551 b=6.2551 c=6.2551 alpha=33.64 beta=33.64 gamma=33.64
Fractional positions:
N 0.8994 0.8994 0.8994
N 0.1006 0.1006 0.1006
Y 0.5000 0.5000 0.5000
Ge 0.0000 0.0000 0.0000

Properties
* DOS(E_F): 2.1 states/eV/f.u.
* uncorrected energy: -29.466 eV per cell
* calculated density: 4.71 g/cm3
* uncorrected formation energy: -433 meV/atom

=====

# Y4Ge2N

A geometry-optimized Y4Ge2N structure (PBE, Alexandria via LeMat-Bulk).

Unit cell a=4.6026 b=4.6026 c=8.3137 alpha=73.93 beta=73.93 gamma=90.00
Fractional positions:
Y 0.5000 0.0000 0.0000
N 0.0000 0.0000 0.0000
Y 0.8308 0.8308 0.3385
Ge 0.6381 0.6381 0.7237
Y 0.1692 0.1692 0.6615
Y 0.0000 0.5000 0.0000
Ge 0.3619 0.3619 0.2763

Properties
* DOS(E_F): 5.0 states/eV/f.u.
* uncorrected energy: -50.427 eV per cell
* calculated density: 5.28 g/cm3
* uncorrected formation energy: -1001 meV/atom
* distance to the lowest polymorph of the same formula: 0 meV per atom

=====

# ZnGe2N

A geometry-optimized ZnGe2N structure (PBE, Alexandria via LeMat-Bulk).

Unit cell a=5.3275 b=5.3275 c=6.1742 alpha=64.44 beta=64.44 gamma=90.00
Fractional positions:
Zn 0.7500 0.2500 0.5000
N 0.2500 0.7500 0.5000
Zn 0.0000 0.0000 0.0000
N 0.5000 0.5000 0.0000
Ge 0.3750 0.4407 0.7500
Ge 0.1907 0.6250 0.2500
Ge 0.5593 0.1250 0.2500
Ge 0.8750 0.8093 0.7500

Properties
* DOS(E_F): 1.0 states/eV/f.u.
* uncorrected energy: -34.936 eV per cell
* calculated density: 5.37 g/cm3
* uncorrected formation energy: 342 meV/atom
* distance to the lowest polymorph of the same formula: 0 meV per atom